MgMoAs | GGA-PBE | relaxed Values from VASP.

Structure (Quantum ESPRESSO input):
```
&SYSTEM
  ibrav = 0, nat = 3, ntyp = 3
/
ATOMIC_SPECIES
As 74.92 As.upf
Mg 24.30 Mg.upf
Mo 95.94 Mo.upf
CELL_PARAMETERS angstrom
3.157 0.000 0.000
-1.578 2.734 0.000
0.000 0.000 6.356
ATOMIC_POSITIONS crystal
As 0.000 0.000 0.969
Mg 0.333 0.667 0.335
Mo 0.667 0.333 0.696
```

Properties
Mass density ... 5.91 g cm⁻³
D(E_F) ... 2.75 states/eV/f.u.
Offset from the most stable computed form ... 230.8 meV/atom
Space-group type ... P3m1 (156)
Crystal system ... trigonal